Entry 1:
Below is KY2Si after structural relaxation, with properties calculated at the GGA-PBE level.

VASP energy: -4.845 eV per atom
M_tot: 1.8 μB per cell
Uncorrected formation energy: 0.02 eV per atom
DOS at the Fermi energy: 7.85 states/eV/cell

Geometry as CIF:
```
data_KY2Si
_cell_length_a 3.839
_cell_length_b 4.166
_cell_length_c 19.044
_cell_angle_alpha 90.00
_cell_angle_beta 90.00
_cell_angle_gamma 90.00
_space_group_name_H-M_alt 'I m m 2'
_space_group_IT_number 44
_space_group_name_Hall 'I 2 -2'
loop_
_atom_site_label
_atom_site_type_symbol
_atom_site_fract_x
_atom_site_fract_y
_atom_site_fract_z
K1 K 0.000 0.000 0.000
Y1 Y 0.000 0.000 0.326
Y2 Y 0.000 0.500 0.183
Si1 Si 0.000 0.500 0.710
```

=====

Entry 2:
Below is In2ReSi after structural relaxation, with properties calculated at the GGA-PBE level.

VASP energy: -5.624 eV per atom
M_tot: 0.0 μB per cell
Uncorrected formation energy: 0.21 eV per atom
DOS at the Fermi energy: 3.38 states/eV/cell

Geometry as CIF:
```
data_In2ReSi
_cell_length_a 2.888
_cell_length_b 4.071
_cell_length_c 14.132
_cell_angle_alpha 90.00
_cell_angle_beta 90.00
_cell_angle_gamma 90.00
_space_group_name_H-M_alt 'I m m m'
_space_group_IT_number 71
_space_group_name_Hall '-I 2 2'
loop_
_atom_site_label
_atom_site_type_symbol
_atom_site_fract_x
_atom_site_fract_y
_atom_site_fract_z
In1 In 0.000 0.000 0.182
Re1 Re 0.000 0.500 0.500
Si1 Si 0.000 0.500 0.000
```

=====

Entry 3:
Below is La7SmTm4 after structural relaxation, with properties calculated at the GGA-PBE level.

E_form: 0.18 eV per formula unit
VASP energy: -4.743 eV per atom
M_tot: 0.0 μB per cell
DOS at the Fermi energy: 19.23 states/eV/cell

Geometry as CIF:
```
data_La7SmTm4
_cell_length_a 6.401
_cell_length_b 7.325
_cell_length_c 9.065
_cell_angle_alpha 89.99
_cell_angle_beta 76.52
_cell_angle_gamma 89.95
_space_group_name_H-M_alt 'P -1'
_space_group_IT_number 2
_space_group_name_Hall '-P 1'
loop_
_atom_site_label
_atom_site_type_symbol
_atom_site_fract_x
_atom_site_fract_y
_atom_site_fract_z
La1 La 0.000 0.000 0.000
La2 La 0.223 0.000 0.334
La3 La 0.283 0.748 0.663
La4 La 0.498 0.744 0.004
Sm1 Sm 0.000 0.500 0.000
Tm1 Tm 0.215 0.501 0.336
Tm2 Tm 0.276 0.258 0.667
```

=====

Entry 4:
Below is Nd8P3Se4Cl after structural relaxation, with properties calculated at the GGA-PBE level.

VASP energy: -6.134 eV per atom
M_tot: 0.0 μB per cell
Uncorrected formation energy: -1.75 eV per atom
DOS at the Fermi energy: 19.64 states/eV/cell

Geometry as CIF:
```
data_Nd8P3Se4Cl
_cell_length_a 8.3739
_cell_length_b 8.3739
_cell_length_c 20.6933
_cell_angle_alpha 90.00
_cell_angle_beta 90.00
_cell_angle_gamma 120.00
_space_group_name_H-M_alt 'R -3 m'
_space_group_IT_number 166
_space_group_name_Hall '-R 3 2"'
loop_
_atom_site_label
_atom_site_type_symbol
_atom_site_fract_x
_atom_site_fract_y
_atom_site_fract_z
Nd1 Nd 0.0000 0.0000 0.2431
Nd2 Nd 0.0172 0.5086 0.7546
P1 P 0.0000 0.5000 0.5000
Se1 Se 0.0000 0.0000 0.0000
Se2 Se 0.0000 0.5000 0.0000
Cl1 Cl 0.0000 0.0000 0.5000
```

=====

Entry 5:
Below is SbOsAu3 after structural relaxation, with properties calculated at the GGA-PBE level.

Energy above the most stable polymorph in this dataset: 0.0 meV per atom
VASP energy: -3.842 eV per atom
M_tot: 0.0 μB per cell
Uncorrected formation energy: 1.20 eV per atom
DOS at the Fermi energy: 4.24 states/eV/cell

Geometry as CIF:
```
data_SbOsAu3
_cell_length_a 5.010
_cell_length_b 5.010
_cell_length_c 5.010
_cell_angle_alpha 90.00
_cell_angle_beta 90.00
_cell_angle_gamma 90.00
_space_group_name_H-M_alt 'P m -3 m'
_space_group_IT_number 221
_space_group_name_Hall '-P 4 2 3'
loop_
_atom_site_label
_atom_site_type_symbol
_atom_site_fract_x
_atom_site_fract_y
_atom_site_fract_z
Sb1 Sb 0.000 0.000 0.000
Os1 Os 0.500 0.500 0.500
Au1 Au 0.000 0.500 0.500
```

=====

Entry 6:
Below is Al2Sn2Bi after structural relaxation, with properties calculated at the GGA-PBE level.

E_form: 0.84 eV per formula unit
Energy above the most stable polymorph in this dataset: 14.8 meV per atom
VASP energy: -3.705 eV per atom
M_tot: 0.0 μB per cell
DOS at the Fermi energy: 6.04 states/eV/cell

Geometry as CIF:
```
data_Al2Sn2Bi
_cell_length_a 3.926
_cell_length_b 3.926
_cell_length_c 16.664
_cell_angle_alpha 90.00
_cell_angle_beta 90.00
_cell_angle_gamma 90.00
_space_group_name_H-M_alt 'I 4/m m m'
_space_group_IT_number 139
_space_group_name_Hall '-I 4 2'
loop_
_atom_site_label
_atom_site_type_symbol
_atom_site_fract_x
_atom_site_fract_y
_atom_site_fract_z
Al1 Al 0.000 0.500 0.250
Sn1 Sn 0.000 0.000 0.116
Bi1 Bi 0.000 0.000 0.500
```